Record 1
Compound: KMgZn
Source: Alexandria
Functional: PBE
Structure: optimized geometry

a = 3.734 Å, b = 3.734 Å, c = 7.779 Å
α = 90.00°, β = 90.00°, γ = 120.00°
Element x y z (fractional)
Zn1 0.333 0.667 0.631
K1 0.000 0.000 0.978
Mg1 0.667 0.333 0.392

Computed properties:
D(E_F): 1.97 states/eV/f.u.
Total magnetization: 0.0 μB/cell
ΔE_f: 0.26 eV/atom
Energy relative to the lowest polymorph listed for this composition: 206 meV/atom
Mass density: 2.277 g cm⁻³
Crystal system: trigonal
E_tot: -1.057 eV per atom

Record 2
Compound: Ac2Pm12Ho5
Source: Alexandria
Functional: PBE
Structure: optimized geometry

a = 11.759 Å, b = 10.781 Å, c = 6.333 Å
α = 99.26°, β = 90.00°, γ = 123.05°
Element x y z (fractional)
Ho1 0.000 0.000 0.500
Ho2 0.675 0.350 0.893
Ac1 0.287 0.000 0.000
Ac2 0.713 0.000 0.000
Pm1 0.107 0.213 0.020
Pm2 0.582 0.163 0.367
Pm3 0.132 0.794 0.390
Pm4 0.034 0.586 0.783
Pm5 0.966 0.414 0.217
Ho3 0.218 0.436 0.562
Ho4 0.325 0.650 0.107
Pm6 0.338 0.206 0.610
Pm7 0.868 0.206 0.610
Ho5 0.782 0.564 0.438
Pm8 0.552 0.586 0.783
Pm9 0.893 0.787 0.980
Pm10 0.662 0.794 0.390
Pm11 0.448 0.414 0.217
Pm12 0.418 0.837 0.633

Computed properties:
D(E_F): 26.49 states/eV/f.u.
Total magnetization: 0.0 μB/cell
ΔE_f: 0.11 eV/atom
Energy relative to the lowest polymorph listed for this composition: 0 meV/atom
Mass density: 7.590 g cm⁻³
Crystal system: monoclinic
E_tot: -4.523 eV per atom

Record 3
Compound: Ni5Pt6Rh
Source: Alexandria
Functional: PBE
Structure: optimized geometry

a = 8.371 Å, b = 3.848 Å, c = 6.078 Å
α = 71.54°, β = 81.64°, γ = 62.65°
Element x y z (fractional)
Ni1 0.000 0.667 0.666
Rh1 0.000 0.000 0.000
Pt1 0.745 0.087 0.336
Ni2 0.500 0.834 0.332
Pt2 0.255 0.913 0.664
Pt3 0.256 0.244 0.000
Ni3 0.500 0.166 0.668
Pt4 0.255 0.577 0.336
Ni4 0.500 0.500 0.000
Pt5 0.745 0.423 0.664
Ni5 0.000 0.333 0.334
Pt6 0.744 0.756 0.000

Computed properties:
D(E_F): 20.50 states/eV/f.u.
Total magnetization: 6.0 μB/cell
ΔE_f: -0.08 eV/atom
Energy relative to the lowest polymorph listed for this composition: 2 meV/atom
Mass density: 15.772 g cm⁻³
Crystal system: orthorhombic
E_tot: -6.121 eV per atom

Record 4
Compound: Cu2Te2Cl
Source: Alexandria
Functional: PBE
Structure: optimized geometry

a = 6.253 Å, b = 7.592 Å, c = 7.563 Å
α = 75.25°, β = 59.78°, γ = 52.89°
Element x y z (fractional)
Te1 0.511 0.421 0.228
Te2 0.899 0.834 0.799
Cu1 0.541 0.234 0.968
Cl1 0.811 0.754 0.337
Te3 0.101 0.166 0.201
Cu2 0.459 0.766 0.032
Te4 0.489 0.579 0.772
Cu3 0.040 0.847 0.411
Cl2 0.189 0.246 0.663
Cu4 0.960 0.153 0.589

Computed properties:
D(E_F): 1.28 states/eV/f.u.
Total magnetization: 0.0 μB/cell
Energy relative to the lowest polymorph listed for this composition: 0 meV/atom
Mass density: 5.622 g cm⁻³
Crystal system: triclinic
Formation energy (no corrections): -139 meV per atom
E_tot: -3.404 eV per atom

Record 5
Compound: Ba2InHPb
Source: Alexandria
Functional: PBE
Structure: optimized geometry

a = 5.544 Å, b = 5.544 Å, c = 4.991 Å
α = 90.00°, β = 90.00°, γ = 90.00°
Element x y z (fractional)
Pb1 0.500 0.500 0.500
Ba1 0.000 0.500 0.000
Ba2 0.500 0.000 0.000
H1 0.000 0.000 0.000
In1 0.000 0.000 0.500

Computed properties:
D(E_F): 2.33 states/eV/f.u.
Total magnetization: 0.0 μB/cell
Energy relative to the lowest polymorph listed for this composition: 0 meV/atom
Mass density: 6.468 g cm⁻³
Crystal system: tetragonal
E_tot: -3.114 eV per atom

Record 6
Compound: La7Cd2Au2
Source: Alexandria
Functional: PBE
Structure: optimized geometry

a = 7.208 Å, b = 7.463 Å, c = 7.208 Å
α = 90.00°, β = 107.40°, γ = 90.00°
Element x y z (fractional)
La1 0.000 0.722 0.500
La2 0.500 0.732 0.500
La3 0.500 0.722 0.000
Au1 0.712 0.000 0.288
La4 0.000 0.278 0.500
Cd1 0.163 0.500 0.163
La5 0.500 0.268 0.500
La6 0.500 0.278 0.000
Cd2 0.837 0.500 0.837
La7 0.000 0.000 0.000
Au2 0.288 0.000 0.712

Computed properties:
D(E_F): 15.30 states/eV/f.u.
Total magnetization: 0.0 μB/cell
ΔE_f: -0.26 eV/atom
Mass density: 7.141 g cm⁻³
Crystal system: orthorhombic
E_tot: -4.155 eV per atom

Record 7
Compound: Tl2Ni4Ag
Source: Alexandria
Functional: PBE
Structure: optimized geometry

a = 4.629 Å, b = 4.629 Å, c = 7.387 Å
α = 71.74°, β = 71.74°, γ = 90.00°
Element x y z (fractional)
Ni1 0.500 0.000 0.000
Ni2 0.000 0.500 0.000
Ni3 0.185 0.185 0.629
Tl1 0.625 0.625 0.750
Ni4 0.815 0.815 0.371
Ag1 0.000 0.000 0.000
Tl2 0.375 0.375 0.250

Computed properties:
D(E_F): 7.77 states/eV/f.u.
Total magnetization: 0.0 μB/cell
ΔE_f: 0.95 eV/atom
Mass density: 8.795 g cm⁻³
Crystal system: tetragonal
E_tot: -3.433 eV per atom

Record 8
Compound: Pu4Ni3As8
Source: Alexandria
Functional: PBE
Structure: optimized geometry

a = 3.982 Å, b = 3.982 Å, c = 18.314 Å
α = 90.00°, β = 90.00°, γ = 90.00°
Element x y z (fractional)
As1 0.500 0.500 0.757
Pu1 0.000 0.500 0.632
As2 0.500 0.500 0.243
Pu2 0.500 0.000 0.368
As3 0.500 0.000 0.574
Ni1 0.500 0.500 0.500
Pu3 0.000 0.500 0.117
Ni2 0.000 0.000 0.000
As4 0.500 0.000 0.068
As5 0.000 0.500 0.426
Pu4 0.500 0.000 0.883
Ni3 0.000 0.000 0.500
As6 0.000 0.500 0.932
As7 0.000 0.000 0.243
As8 0.000 0.000 0.757

Computed properties:
D(E_F): 39.81 states/eV/f.u.
Total magnetization: 0.9 μB/cell
ΔE_f: -0.69 eV/atom
Mass density: 10.014 g cm⁻³
Crystal system: tetragonal
E_tot: -8.143 eV per atom

Record 9
Compound: TbTm3In4
Source: Alexandria
Functional: PBE
Structure: optimized geometry

a = 5.451 Å, b = 7.130 Å, c = 10.682 Å
α = 90.00°, β = 90.00°, γ = 90.00°
Element x y z (fractional)
Tm1 0.574 0.500 0.750
Tm2 0.419 0.000 0.250
In1 0.500 0.754 0.000
In2 0.086 0.247 0.750
In3 0.500 0.246 0.000
Tm3 0.581 0.000 0.750
In4 0.914 0.247 0.250
Tb1 0.000 0.500 0.500
Tm4 0.000 0.000 0.000
Tb2 0.000 0.500 0.000
In5 0.914 0.753 0.250
In6 0.500 0.246 0.500
In7 0.086 0.753 0.750
In8 0.500 0.754 0.500
Tm5 0.000 0.000 0.500
Tm6 0.426 0.500 0.250

Computed properties:
D(E_F): 4.26 states/eV/f.u.
Total magnetization: 0.0 μB/cell
ΔE_f: -0.44 eV/atom
Energy relative to the lowest polymorph listed for this composition: 0 meV/atom
Mass density: 8.998 g cm⁻³
Crystal system: orthorhombic
E_tot: -4.061 eV per atom

Record 10
Compound: SbMoRh2
Source: Alexandria
Functional: PBE
Structure: optimized geometry

a = 8.880 Å, b = 8.880 Å, c = 8.880 Å
α = 19.22°, β = 19.22°, γ = 19.22°
Element x y z (fractional)
Rh1 0.002 0.002 0.002
Rh2 0.498 0.498 0.498
Mo1 0.750 0.750 0.750
Sb1 0.250 0.250 0.250

Computed properties:
D(E_F): 4.48 states/eV/f.u.
Total magnetization: 0.0 μB/cell
Mass density: 10.607 g cm⁻³
Crystal system: trigonal
Formation energy (no corrections): 82 meV per atom
E_tot: -7.332 eV per atom

Record 11
Compound: VTcIr
Source: Alexandria
Functional: PBE
Structure: optimized geometry

a = 5.194 Å, b = 4.777 Å, c = 8.156 Å
α = 90.00°, β = 122.62°, γ = 90.00°
Element x y z (fractional)
V1 0.449 0.345 0.019
Tc1 0.914 0.660 0.840
Ir1 0.429 0.832 0.183
Ir2 0.429 0.332 0.683
V2 0.949 0.155 0.019
Tc2 0.914 0.160 0.340
Tc3 0.414 0.340 0.340
V3 0.449 0.845 0.519
Ir3 0.929 0.668 0.183
Tc4 0.414 0.840 0.840
V4 0.949 0.655 0.519
Ir4 0.929 0.168 0.683

Computed properties:
D(E_F): 3.34 states/eV/f.u.
Total magnetization: 0.0 μB/cell
ΔE_f: -0.27 eV/atom
Energy relative to the lowest polymorph listed for this composition: 16 meV/atom
Mass density: 13.293 g cm⁻³
Crystal system: monoclinic
E_tot: -9.721 eV per atom

Record 12
Compound: Tl2OsCl4F2
Source: Alexandria
Functional: PBE
Structure: optimized geometry

a = 5.974 Å, b = 6.695 Å, c = 6.695 Å
α = 64.34°, β = 78.25°, γ = 78.25°
Element x y z (fractional)
Cl1 0.318 0.674 0.147
Cl2 0.318 0.147 0.674
Cl3 0.682 0.326 0.853
Tl1 0.228 0.677 0.677
Tl2 0.772 0.323 0.323
Cl4 0.682 0.853 0.326
F1 0.244 0.142 0.142
F2 0.756 0.858 0.858
Os1 0.500 0.000 0.000

Computed properties:
D(E_F): 0.34 states/eV/f.u.
Total magnetization: 2.0 μB/cell
Mass density: 5.519 g cm⁻³
Crystal system: monoclinic
Formation energy (no corrections): -1087 meV per atom
E_tot: -4.097 eV per atom

Record 13
Compound: FeW2Br
Source: Alexandria
Functional: PBE
Structure: optimized geometry

a = 4.605 Å, b = 3.774 Å, c = 3.774 Å
α = 90.00°, β = 90.00°, γ = 90.00°
Element x y z (fractional)
Br1 0.500 0.500 0.000
W1 0.000 0.000 0.000
Fe1 0.500 0.000 0.500
W2 0.000 0.500 0.500

Computed properties:
D(E_F): 3.80 states/eV/f.u.
Total magnetization: 2.5 μB/cell
Energy relative to the lowest polymorph listed for this composition: 731 meV/atom
Mass density: 12.744 g cm⁻³
Crystal system: tetragonal
Formation energy (no corrections): 1294 meV per atom
E_tot: -7.717 eV per atom

Record 14
Compound: In4Ag5Au2
Source: Alexandria
Functional: PBE
Structure: optimized geometry

a = 2.900 Å, b = 7.899 Å, c = 11.785 Å
α = 109.58°, β = 97.07°, γ = 90.00°
Element x y z (fractional)
Ag1 0.882 0.061 0.764
Au1 0.227 0.227 0.454
Ag2 0.500 0.000 0.000
In1 0.000 0.680 0.000
In2 0.648 0.648 0.297
Ag3 0.118 0.939 0.236
Ag4 0.882 0.703 0.764
Au2 0.773 0.773 0.546
In3 0.000 0.320 0.000
Ag5 0.118 0.297 0.236
In4 0.352 0.352 0.703

Computed properties:
D(E_F): 3.64 states/eV/f.u.
Total magnetization: 0.0 μB/cell
ΔE_f: 0.14 eV/atom
Mass density: 9.169 g cm⁻³
Crystal system: orthorhombic
E_tot: -2.750 eV per atom

Record 15
Compound: PaZnFe
Source: Alexandria
Functional: PBE
Structure: optimized geometry

a = 4.072 Å, b = 4.796 Å, c = 6.928 Å
α = 62.65°, β = 90.00°, γ = 64.88°
Element x y z (fractional)
Zn1 0.623 0.045 0.742
Fe1 0.967 0.356 0.471
Zn2 0.972 0.348 0.854
Pa1 0.219 0.854 0.474
Pa2 0.376 0.540 0.122
Fe2 0.627 0.037 0.124

Computed properties:
D(E_F): 2.38 states/eV/f.u.
Total magnetization: 0.0 μB/cell
ΔE_f: -0.25 eV/atom
Mass density: 11.082 g cm⁻³
Crystal system: monoclinic
E_tot: -6.658 eV per atom

Record 16
Compound: LaDyTlZn
Source: Alexandria
Functional: PBE
Structure: optimized geometry

a = 5.377 Å, b = 5.377 Å, c = 5.377 Å
α = 60.00°, β = 60.00°, γ = 60.00°
Element x y z (fractional)
La1 0.250 0.250 0.250
Zn1 0.000 0.000 0.000
Dy1 0.750 0.750 0.750
Tl1 0.500 0.500 0.500

Computed properties:
D(E_F): 4.88 states/eV/f.u.
Total magnetization: 0.0 μB/cell
ΔE_f: -0.33 eV/atom
Energy relative to the lowest polymorph listed for this composition: 32 meV/atom
Mass density: 8.630 g cm⁻³
Crystal system: cubic
E_tot: -3.623 eV per atom

Record 17
Compound: SrSbAu
Source: Alexandria
Functional: PBE
Structure: optimized geometry

a = 9.952 Å, b = 6.537 Å, c = 6.537 Å
α = 95.78°, β = 114.86°, γ = 139.56°
Element x y z (fractional)
Sr1 0.637 0.721 0.893
Sb1 0.309 0.309 0.135
Au1 0.974 0.139 0.634
Sb2 0.966 0.619 0.137
Sr2 0.638 0.207 0.379
Au2 0.301 0.790 0.638

Computed properties:
D(E_F): 0.16 states/eV/f.u.
Total magnetization: 0.0 μB/cell
Mass density: 7.708 g cm⁻³
Crystal system: monoclinic
Formation energy (no corrections): -786 meV per atom
E_tot: -3.814 eV per atom

Record 18
Compound: NaAsIrSe2
Source: Alexandria
Functional: PBE
Structure: optimized geometry

a = 5.243 Å, b = 5.243 Å, c = 4.597 Å
α = 90.00°, β = 90.00°, γ = 90.00°
Element x y z (fractional)
Se1 0.000 0.500 0.000
Na1 0.500 0.500 0.500
Se2 0.500 0.000 0.000
Ir1 0.000 0.000 0.000
As1 0.000 0.000 0.500

Computed properties:
D(E_F): 5.90 states/eV/f.u.
Total magnetization: 0.0 μB/cell
Energy relative to the lowest polymorph listed for this composition: 0 meV/atom
Mass density: 5.887 g cm⁻³
Crystal system: tetragonal
Formation energy (no corrections): 97 meV per atom
E_tot: -4.263 eV per atom

Record 19
Compound: BaMg12Cd6
Source: Alexandria
Functional: PBE
Structure: optimized geometry

a = 8.164 Å, b = 8.164 Å, c = 8.164 Å
α = 104.26°, β = 104.26°, γ = 104.26°
Element x y z (fractional)
Mg1 0.115 0.885 0.500
Cd1 0.738 0.738 0.290
Cd2 0.262 0.710 0.262
Mg2 0.581 0.842 0.581
Ba1 0.000 0.000 0.000
Mg3 0.115 0.500 0.885
Mg4 0.885 0.115 0.500
Mg5 0.419 0.158 0.419
Mg6 0.842 0.581 0.581
Mg7 0.158 0.419 0.419
Mg8 0.419 0.419 0.158
Mg9 0.885 0.500 0.115
Mg10 0.500 0.115 0.885
Mg11 0.581 0.581 0.842
Cd3 0.262 0.262 0.710
Cd4 0.290 0.738 0.738
Mg12 0.500 0.885 0.115
Cd5 0.710 0.262 0.262
Cd6 0.738 0.290 0.738

Computed properties:
D(E_F): 10.19 states/eV/f.u.
Total magnetization: 0.0 μB/cell
ΔE_f: -0.05 eV/atom
Mass density: 3.794 g cm⁻³
Crystal system: trigonal
E_tot: -1.443 eV per atom

Record 20
Compound: Mg2SnI
Source: Alexandria
Functional: PBE
Structure: optimized geometry

a = 4.111 Å, b = 4.111 Å, c = 8.366 Å
α = 75.77°, β = 75.77°, γ = 60.00°
Element x y z (fractional)
Mg1 0.075 0.075 0.775
I1 0.493 0.493 0.520
Mg2 0.264 0.264 0.208
Sn1 0.668 0.668 0.997

Computed properties:
D(E_F): 0.41 states/eV/f.u.
Total magnetization: 0.0 μB/cell
Energy relative to the lowest polymorph listed for this composition: 0 meV/atom
Mass density: 4.160 g cm⁻³
Crystal system: trigonal
Formation energy (no corrections): -254 meV per atom
E_tot: -2.439 eV per atom

Record 21
Compound: Sm2MoC2
Source: Alexandria
Functional: PBE
Structure: optimized geometry

a = 5.284 Å, b = 6.756 Å, c = 10.206 Å
α = 90.00°, β = 90.00°, γ = 90.00°
Element x y z (fractional)
C1 0.750 0.316 0.455
C2 0.750 0.816 0.045
C3 0.250 0.684 0.545
Sm1 0.250 0.319 0.445
C4 0.750 0.949 0.742
Mo1 0.750 0.218 0.635
Sm2 0.750 0.037 0.281
Sm3 0.250 0.819 0.055
C5 0.250 0.184 0.955
Sm4 0.750 0.681 0.555
Sm5 0.250 0.463 0.781
Sm6 0.750 0.181 0.945
C6 0.250 0.551 0.242
Mo2 0.750 0.718 0.865
Sm7 0.750 0.537 0.219
Mo3 0.250 0.782 0.365
C7 0.250 0.051 0.258
Mo4 0.250 0.282 0.135
C8 0.750 0.449 0.758
Sm8 0.250 0.963 0.719

Computed properties:
D(E_F): 2.89 states/eV/f.u.
Total magnetization: 0.0 μB/cell
ΔE_f: -0.21 eV/atom
Energy relative to the lowest polymorph listed for this composition: 0 meV/atom
Mass density: 7.669 g cm⁻³
Crystal system: orthorhombic
E_tot: -7.957 eV per atom

Record 22
Compound: ZnAuSe
Source: Alexandria
Functional: PBE
Structure: optimized geometry

a = 2.886 Å, b = 3.999 Å, c = 6.670 Å
α = 100.59°, β = 102.01°, γ = 111.22°
Element x y z (fractional)
Zn1 0.492 0.684 0.509
Se1 0.387 0.255 0.742
Au1 0.732 0.491 0.167

Computed properties:
D(E_F): 0.47 states/eV/f.u.
Total magnetization: 0.0 μB/cell
Energy relative to the lowest polymorph listed for this composition: 72 meV/atom
Mass density: 8.423 g cm⁻³
Crystal system: triclinic
Formation energy (no corrections): -119 meV per atom
E_tot: -2.798 eV per atom

Record 23
Compound: SrTc2Ir
Source: Alexandria
Functional: PBE
Structure: optimized geometry

a = 7.684 Å, b = 7.684 Å, c = 6.131 Å
α = 51.20°, β = 51.20°, γ = 90.00°
Element x y z (fractional)
Ir1 0.000 0.000 0.000
Tc1 0.375 0.307 0.750
Sr1 0.250 0.750 0.500
Ir2 0.750 0.250 0.500
Tc2 0.057 0.625 0.250
Tc3 0.693 0.125 0.250
Tc4 0.875 0.943 0.750
Sr2 0.500 0.500 0.000

Computed properties:
D(E_F): 6.46 states/eV/f.u.
Total magnetization: 0.0 μB/cell
ΔE_f: 0.86 eV/atom
Energy relative to the lowest polymorph listed for this composition: 483 meV/atom
Mass density: 9.424 g cm⁻³
Crystal system: tetragonal
E_tot: -6.956 eV per atom